Entry 1:
The following is a GGA-PBEsol calculation of a relaxed structure of Bi3AuI, from Alexandria.

Properties
The total energy is -3.25 eV/atom.

Cell lengths 5.536, 5.536, 5.536 Å; angles 90.00, 90.00, 90.00 degrees
Space group Pm-3m (No. 221)
Symmetry-distinct sites (fractional):
Bi1 0.000 0.000 0.500 x3
Au1 0.000 0.000 0.000 x1
I1 0.500 0.500 0.500 x1

Entry 2:
The following is a GGA-PBEsol calculation of a relaxed structure of Rb2BiAuI6, from Alexandria.

Properties
The total energy is -2.80 eV/atom.

Cell lengths 11.862, 11.862, 11.862 Å; angles 90.00, 90.00, 90.00 degrees
Space group Fm-3m (No. 225)
Symmetry-distinct sites (fractional):
Rb1 0.250 0.250 0.250 x8
Bi1 0.000 0.000 0.000 x4
Au1 0.000 0.000 0.500 x4
I1 0.000 0.000 0.257 x24

Entry 3:
The following is a GGA-PBEsol calculation of a relaxed structure of SnBi2AuI, from Alexandria.

Properties
The total energy is -2.47 eV/atom.

Cell lengths 5.837, 5.837, 5.688 Å; angles 90.00, 90.00, 90.00 degrees
Space group P4/mmm (No. 123)
Symmetry-distinct sites (fractional):
Sn1 0.000 0.000 0.000 x1
Bi1 0.000 0.500 0.500 x2
Au1 0.500 0.500 0.000 x1
I1 0.000 0.000 0.500 x1

Entry 4:
The following is a GGA-PBEsol calculation of a relaxed structure of ZrBiAu2I, from Alexandria.

Properties
The total energy is -3.44 eV/atom.

Cell lengths 5.074, 5.074, 5.992 Å; angles 90.00, 90.00, 90.00 degrees
Space group P4/mmm (No. 123)
Symmetry-distinct sites (fractional):
Zr1 0.000 0.000 0.000 x1
Bi1 0.500 0.500 0.000 x1
Au1 0.000 0.500 0.500 x2
I1 0.500 0.500 0.500 x1

Entry 5:
The following is a GGA-PBEsol calculation of a relaxed structure of InBi2Au2, from Alexandria.

Properties
The total energy is -3.91 eV/atom. Its energy of formation is -0.033 eV per atom.

Cell lengths 7.393, 7.393, 4.352 Å; angles 90.00, 90.00, 90.00 degrees
Space group P4/mbm (No. 127)
Symmetry-distinct sites (fractional):
In1 0.000 0.000 0.000 x2
Bi1 0.174 0.326 0.500 x4
Au1 0.133 0.633 0.000 x4

Entry 6:
The following is a GGA-PBEsol calculation of a relaxed structure of In2BiAu2, from Alexandria.

Properties
The total energy is -3.73 eV/atom. Its energy of formation is -0.108 eV per atom.

Cell lengths 7.959, 7.959, 3.516 Å; angles 90.00, 90.00, 90.00 degrees
Space group P4/mbm (No. 127)
Symmetry-distinct sites (fractional):
In1 0.167 0.333 0.000 x4
Bi1 0.000 0.000 0.500 x2
Au1 0.129 0.629 0.500 x4